1.
BaLi2AlNi PBE relaxed; V = 117 Å³/cell; crystal system = tetragonal; space-group type = P4/mmm
1.0
5.031 0.000 0.000
0.000 5.031 0.000
0.000 0.000 4.627
Ni Li Ba Al
1 2 1 1
direct
0.000 0.000 0.000
0.000 0.500 0.000
0.500 0.000 0.000
0.500 0.500 0.500
0.000 0.000 0.500

***

2.
Nd3Y4Hg PBE relaxed; V = 254 Å³/cell; crystal system = tetragonal; space-group type = P4/mmm
1.0
3.634 0.000 0.000
0.000 3.634 0.000
0.000 0.000 19.264
Y Nd Hg
4 3 1
direct
0.000 0.000 0.898
0.000 0.000 0.102
0.000 0.000 0.367
0.000 0.000 0.633
0.500 0.500 0.235
0.500 0.500 0.500
0.500 0.500 0.765
0.500 0.500 0.000

***

3.
PrNbIr2 PBE relaxed; V = 78 Å³/cell; crystal system = tetragonal; space-group type = P4/mmm
1.0
3.198 0.000 0.000
0.000 3.198 0.000
0.000 0.000 7.619
Pr Nb Ir
1 1 2
direct
0.500 0.500 0.500
0.500 0.500 0.000
0.000 0.000 0.802
0.000 0.000 0.198

***

Number 1: D(E_F) 0.580 states/eV per atom, total DFT energy (no corrections) -3.104 eV/atom, formation energy from the elements -0.049 eV per atom. Number 2: D(E_F) 1.279 states/eV per atom, total DFT energy (no corrections) -5.175 eV/atom, formation energy from the elements -0.117 eV per atom. Number 3: D(E_F) 0.750 states/eV per atom, total DFT energy (no corrections) -8.575 eV/atom, formation energy from the elements -0.432 eV per atom.